# LiTm2MgS4 | Alexandria via LeMat-Bulk | PBE | relaxed
# Volume = 19.21 Å³ per atom
# Energy relative to the elements, uncorrected = -1740 meV per atom
# DOS at the Fermi energy = 2.671 states/eV/f.u.
data_LiTm2MgS4
_space_group_name_H-M_alt 'P 1 2/m 1'
_space_group_IT_number 10
_cell_length_a 6.535
_cell_length_b 3.785
_cell_length_c 6.574
_cell_angle_alpha 90.00
_cell_angle_beta 109.07
_cell_angle_gamma 90.00
loop_
_space_group_symop_operation_xyz
'x,y,z'
'-x,-y,-z'
'-x,y,-z'
'x,-y,z'
loop_
_atom_site_label
_atom_site_fract_x
_atom_site_fract_y
_atom_site_fract_z
_atom_site_occupancy
Li1 0.000 0.000 0.000 1
Tm1 0.000 0.500 0.500 1
Tm2 0.500 0.000 0.500 1
Mg1 0.500 0.500 0.000 1
S1 0.251 0.500 0.242 1
S2 0.255 0.000 0.762 1